Record 1
A PBEsol-optimized structure of YZr2TaCl. Source: the Alexandria database, functional meta-GGA SCAN.

Structure (POSCAR):
```
YZr2TaCl
1.0
5.239 0.000 0.000
0.000 5.239 0.000
0.000 0.000 4.882
Y Zr Ta Cl
1 2 1 1
Direct
0.000 0.000 0.000
0.000 0.500 0.000
0.500 0.000 0.000
0.000 0.000 0.500
0.500 0.500 0.500
```

## Properties
Crystal system   tetragonal
E_form (uncorrected)   1.823 eV per atom
Total energy   -154.7 eV for the cell shown
M_tot   1.29 μB per cell

Record 2
A PBEsol-optimized structure of Sc2ZnFe. Source: the Alexandria database, functional meta-GGA SCAN.

Structure (POSCAR):
```
Sc2ZnFe
1.0
3.136 0.000 0.000
0.000 3.136 0.000
0.000 0.000 6.624
Sc Zn Fe
2 1 1
Direct
0.000 0.000 0.221
0.000 0.000 0.779
0.500 0.500 0.500
0.500 0.500 0.000
```

## Properties
Crystal system   tetragonal
Total energy   -61.2 eV for the cell shown
M_tot   0.00 μB per cell

Record 3
A PBEsol-optimized structure of Li2AlIn. Source: the Alexandria database, functional meta-GGA SCAN.

Structure (POSCAR):
```
Li2AlIn
1.0
4.716 -1.489 0.000
4.716 1.489 0.000
-0.654 0.000 5.155
Li Al In
2 1 1
Direct
0.000 0.000 0.000
0.235 0.235 0.748
0.492 0.492 0.510
0.747 0.747 0.248
```

## Properties
Crystal system   monoclinic
Total energy   -46.7 eV for the cell shown
M_tot   0.02 μB per cell

Record 4
A PBEsol-optimized structure of TaCoTe2. Source: the Alexandria database, functional meta-GGA SCAN.

Structure (POSCAR):
```
TaCoTe2
1.0
3.960 0.000 0.000
-1.980 3.429 0.000
0.000 0.000 6.791
Ta Co Te
1 1 2
Direct
0.000 0.000 0.000
0.667 0.333 0.124
0.333 0.667 0.294
0.667 0.333 0.752
```

## Properties
Crystal system   trigonal
E_form (uncorrected)   -0.395 eV per atom
Total energy   -160.0 eV for the cell shown
M_tot   0.00 μB per cell

Record 5
A PBEsol-optimized structure of FePO4. Source: the Alexandria database, functional meta-GGA SCAN.

Structure (POSCAR):
```
FePO4
1.0
9.111 0.000 0.000
0.000 8.603 0.000
-9.080 0.000 15.828
Fe P O
12 12 48
Direct
0.015 0.199 0.420
0.015 0.301 0.920
0.315 0.198 0.242
0.315 0.302 0.742
0.344 0.695 0.407
0.344 0.805 0.907
0.656 0.195 0.093
0.656 0.305 0.593
0.685 0.698 0.258
0.685 0.802 0.758
0.985 0.699 0.080
0.985 0.801 0.580
0.023 0.677 0.918
0.023 0.823 0.418
0.327 0.678 0.739
0.327 0.822 0.239
0.333 0.180 0.910
0.333 0.320 0.410
0.667 0.680 0.590
0.667 0.820 0.090
0.673 0.178 0.761
0.673 0.322 0.261
0.977 0.177 0.582
0.977 0.323 0.082
0.045 0.749 0.500
0.045 0.751 0.000
0.085 0.507 0.936
0.085 0.993 0.436
0.127 0.731 0.387
0.127 0.769 0.887
0.166 0.180 0.651
0.166 0.320 0.151
0.167 0.722 0.189
0.167 0.778 0.689
0.194 0.175 0.935
0.194 0.325 0.435
0.272 0.217 0.331
0.272 0.283 0.831
0.286 0.508 0.709
0.286 0.992 0.209
0.368 0.014 0.891
0.368 0.486 0.391
0.388 0.690 0.834
0.388 0.810 0.334
0.467 0.737 0.721
0.467 0.763 0.221
0.497 0.250 0.483
0.497 0.250 0.983
0.503 0.750 0.017
0.503 0.750 0.517
0.533 0.237 0.779
0.533 0.263 0.279
0.612 0.190 0.666
0.612 0.310 0.166
0.632 0.514 0.609
0.632 0.986 0.109
0.714 0.008 0.791
0.714 0.492 0.291
0.728 0.717 0.169
0.728 0.783 0.669
0.806 0.675 0.565
0.806 0.825 0.065
0.833 0.222 0.311
0.833 0.278 0.811
0.834 0.680 0.849
0.834 0.820 0.349
0.873 0.231 0.113
0.873 0.269 0.613
0.915 0.007 0.564
0.915 0.493 0.064
0.955 0.249 0.000
0.955 0.251 0.500
```

## Properties
Crystal system   monoclinic
E_form (uncorrected)   -2.135 eV per atom
Total energy   -795.2 eV for the cell shown
M_tot   60.00 μB per cell

Record 6
A PBEsol-optimized structure of KRbFeCl2. Source: the Alexandria database, functional meta-GGA SCAN.

Structure (POSCAR):
```
KRbFeCl2
1.0
6.033 0.000 0.000
0.000 6.033 0.000
0.000 0.000 5.717
K Rb Fe Cl
1 1 1 2
Direct
0.000 0.000 0.000
0.500 0.500 0.500
0.500 0.500 0.000
0.000 0.500 0.500
0.500 0.000 0.500
```

## Properties
Crystal system   tetragonal
E_form (uncorrected)   -0.397 eV per atom
Total energy   -65.1 eV for the cell shown
M_tot   4.00 μB per cell

Record 7
A PBEsol-optimized structure of Li2HgAu. Source: the Alexandria database, functional meta-GGA SCAN.

Structure (POSCAR):
```
Li2HgAu
1.0
-2.244 2.244 3.094
2.244 -2.244 3.094
2.244 2.244 -3.094
Li Hg Au
2 1 1
Direct
0.250 0.750 0.500
0.750 0.250 0.500
0.000 0.000 0.000
0.500 0.500 0.000
```

## Properties
Crystal system   tetragonal
Total energy   -144.3 eV for the cell shown
M_tot   0.00 μB per cell

Record 8
A PBEsol-optimized structure of Ag2Au. Source: the Alexandria database, functional meta-GGA SCAN.

Structure (POSCAR):
```
Ag2Au
1.0
5.758 0.000 0.000
0.000 4.009 0.000
0.000 0.000 8.644
Ag Au
8 4
Direct
0.125 0.250 0.083
0.126 0.250 0.751
0.374 0.750 0.251
0.375 0.750 0.583
0.625 0.250 0.417
0.626 0.250 0.749
0.874 0.750 0.249
0.875 0.750 0.917
0.125 0.250 0.416
0.375 0.750 0.916
0.625 0.250 0.084
0.875 0.750 0.584
```

## Properties
Crystal system   orthorhombic
Total energy   -528.5 eV for the cell shown
M_tot   0.00 μB per cell

Record 9
A PBEsol-optimized structure of In2FeSi. Source: the Alexandria database, functional meta-GGA SCAN.

Structure (POSCAR):
```
In2FeSi
1.0
-1.404 2.213 5.820
1.404 -2.213 5.820
1.404 2.213 -5.820
In Fe Si
2 1 1
Direct
0.000 0.000 0.000
0.693 0.193 0.500
0.486 0.486 0.000
0.329 0.829 0.500
```

## Properties
Crystal system   orthorhombic
E_form (uncorrected)   0.289 eV per atom
Total energy   -93.8 eV for the cell shown
M_tot   1.40 μB per cell

Record 10
A PBEsol-optimized structure of KBa2Br2. Source: the Alexandria database, functional meta-GGA SCAN.

Structure (POSCAR):
```
KBa2Br2
1.0
-2.799 2.799 7.918
2.799 -2.799 7.918
2.799 2.799 -7.918
K Ba Br
1 2 2
Direct
0.000 0.000 0.000
0.356 0.356 0.000
0.644 0.644 0.000
0.250 0.750 0.500
0.750 0.250 0.500
```

## Properties
Crystal system   tetragonal
E_form (uncorrected)   -1.356 eV per atom
Total energy   -133.1 eV for the cell shown
M_tot   0.00 μB per cell

Record 11
A PBEsol-optimized structure of CuSbTe. Source: the Alexandria database, functional meta-GGA SCAN.

Structure (POSCAR):
```
CuSbTe
1.0
3.933 0.000 0.000
-1.967 3.406 0.000
0.000 0.000 4.988
Cu Sb Te
1 1 1
Direct
0.000 0.000 0.000
0.667 0.333 0.724
0.333 0.667 0.273
```

## Properties
Crystal system   trigonal
E_form (uncorrected)   0.007 eV per atom
Total energy   -89.7 eV for the cell shown
M_tot   0.00 μB per cell

Record 12
A PBEsol-optimized structure of BaLiCo. Source: the Alexandria database, functional meta-GGA SCAN.

Structure (POSCAR):
```
BaLiCo
1.0
4.428 0.000 0.000
-2.214 3.834 0.000
0.000 0.000 4.349
Ba Li Co
1 1 1
Direct
0.000 0.000 0.000
0.667 0.333 0.500
0.333 0.667 0.500
```

## Properties
Crystal system   hexagonal
Total energy   -57.6 eV for the cell shown
M_tot   1.25 μB per cell

Record 13
A PBEsol-optimized structure of CaBiP2Cl. Source: the Alexandria database, functional meta-GGA SCAN.

Structure (POSCAR):
```
CaBiP2Cl
1.0
5.243 0.000 0.000
0.000 5.243 0.000
0.000 0.000 4.852
Ca Bi P Cl
1 1 2 1
Direct
0.000 0.000 0.000
0.500 0.500 0.500
0.000 0.500 0.000
0.500 0.000 0.000
0.000 0.000 0.500
```

## Properties
Crystal system   tetragonal
E_form (uncorrected)   0.278 eV per atom
Total energy   -115.6 eV for the cell shown
M_tot   0.00 μB per cell

Record 14
A PBEsol-optimized structure of Co3BiTe. Source: the Alexandria database, functional meta-GGA SCAN.

Structure (POSCAR):
```
Co3BiTe
1.0
4.695 0.000 0.000
0.000 4.695 0.000
0.000 0.000 4.695
Co Bi Te
3 1 1
Direct
0.000 0.000 0.500
0.000 0.500 0.000
0.500 0.000 0.000
0.000 0.000 0.000
0.500 0.500 0.500
```

## Properties
Crystal system   cubic
E_form (uncorrected)   1.347 eV per atom
Total energy   -161.0 eV for the cell shown
M_tot   4.99 μB per cell

Record 15
A PBEsol-optimized structure of NaTc3O. Source: the Alexandria database, functional meta-GGA SCAN.

Structure (POSCAR):
```
NaTc3O
1.0
4.439 0.000 0.000
0.000 4.439 0.000
0.000 0.000 4.439
Na Tc O
1 3 1
Direct
0.000 0.000 0.000
0.000 0.000 0.500
0.000 0.500 0.000
0.500 0.000 0.000
0.500 0.500 0.500
```

## Properties
Crystal system   cubic
E_form (uncorrected)   3.245 eV per atom
Total energy   -99.4 eV for the cell shown
M_tot   8.42 μB per cell

Record 16
A PBEsol-optimized structure of LiLaHg. Source: the Alexandria database, functional meta-GGA SCAN.

Structure (POSCAR):
```
LiLaHg
1.0
4.918 0.000 0.000
-2.459 4.259 0.000
0.000 0.000 3.448
Li La Hg
1 1 1
Direct
0.000 0.000 0.000
0.667 0.333 0.500
0.333 0.667 0.000
```

## Properties
Crystal system   hexagonal
Total energy   -115.2 eV for the cell shown
M_tot   0.10 μB per cell

Record 17
A PBEsol-optimized structure of CeAl3Au. Source: the Alexandria database, functional meta-GGA SCAN.

Structure (POSCAR):
```
CeAl3Au
1.0
-2.140 2.140 5.381
2.140 -2.140 5.381
2.140 2.140 -5.381
Ce Al Au
1 3 1
Direct
0.000 0.000 0.000
0.238 0.738 0.500
0.589 0.589 0.000
0.738 0.238 0.500
0.362 0.362 0.000
```

## Properties
Crystal system   tetragonal
Total energy   -140.9 eV for the cell shown
M_tot   0.90 μB per cell

Record 18
A PBEsol-optimized structure of CaHfZr3. Source: the Alexandria database, functional meta-GGA SCAN.

Structure (POSCAR):
```
CaHfZr3
1.0
4.923 0.000 0.000
0.000 4.923 0.000
0.000 0.000 4.923
Ca Hf Zr
1 1 3
Direct
0.000 0.000 0.000
0.500 0.500 0.500
0.000 0.000 0.500
0.000 0.500 0.000
0.500 0.000 0.000
```

## Properties
Crystal system   cubic
Total energy   -156.5 eV for the cell shown
M_tot   1.91 μB per cell

Record 19
A PBEsol-optimized structure of As4S5. Source: the Alexandria database, functional meta-GGA SCAN.

Structure (POSCAR):
```
As4S5
1.0
7.256 0.000 0.000
0.000 7.948 0.000
-1.646 0.000 7.557
As S
8 10
Direct
0.037 0.250 0.472
0.244 0.503 0.901
0.244 0.997 0.901
0.309 0.750 0.515
0.691 0.250 0.485
0.756 0.003 0.099
0.756 0.497 0.099
0.963 0.750 0.528
0.046 0.033 0.278
0.046 0.467 0.278
0.291 0.750 0.054
0.413 0.525 0.688
0.413 0.975 0.688
0.587 0.025 0.312
0.587 0.475 0.312
0.709 0.250 0.946
0.954 0.533 0.722
0.954 0.967 0.722
```

## Properties
Crystal system   monoclinic
E_form (uncorrected)   -0.166 eV per atom
Total energy   -260.8 eV for the cell shown
M_tot   0.00 μB per cell

Record 20
A PBEsol-optimized structure of Si2AgTe. Source: the Alexandria database, functional meta-GGA SCAN.

Structure (POSCAR):
```
Si2AgTe
1.0
5.678 -1.944 0.000
5.678 1.944 0.000
-1.187 0.000 3.685
Si Ag Te
2 1 1
Direct
0.243 0.243 0.198
0.757 0.757 0.802
0.000 0.000 0.000
0.500 0.500 0.500
```

## Properties
Crystal system   monoclinic
E_form (uncorrected)   0.445 eV per atom
Total energy   -86.9 eV for the cell shown
M_tot   0.00 μB per cell

Record 21
A PBEsol-optimized structure of Mg2TlRu. Source: the Alexandria database, functional meta-GGA SCAN.

Structure (POSCAR):
```
Mg2TlRu
1.0
3.422 0.000 0.000
0.000 3.422 0.000
0.000 0.000 6.116
Mg Tl Ru
2 1 1
Direct
0.000 0.000 0.214
0.000 0.000 0.786
0.500 0.500 0.500
0.500 0.500 0.000
```

## Properties
Crystal system   tetragonal
Total energy   -117.3 eV for the cell shown
M_tot   0.00 μB per cell

Record 22
A PBEsol-optimized structure of ZrSiAg2. Source: the Alexandria database, functional meta-GGA SCAN.

Structure (POSCAR):
```
ZrSiAg2
1.0
3.583 0.000 0.000
0.000 3.583 0.000
0.000 0.000 5.591
Zr Si Ag
1 1 2
Direct
0.000 0.000 0.000
0.000 0.000 0.500
0.500 0.500 0.256
0.500 0.500 0.744
```

## Properties
Crystal system   tetragonal
E_form (uncorrected)   0.094 eV per atom
Total energy   -103.1 eV for the cell shown
M_tot   0.48 μB per cell

Record 23
A PBEsol-optimized structure of Sr2TcRu. Source: the Alexandria database, functional meta-GGA SCAN.

Structure (POSCAR):
```
Sr2TcRu
1.0
-2.145 2.145 4.702
2.145 -2.145 4.702
2.145 2.145 -4.702
Sr Tc Ru
2 1 1
Direct
0.250 0.750 0.500
0.750 0.250 0.500
0.000 0.000 0.000
0.500 0.500 0.000
```

## Properties
Crystal system   tetragonal
Total energy   -110.2 eV for the cell shown
M_tot   3.12 μB per cell

Record 24
A PBEsol-optimized structure of Ca3PN. Source: the Alexandria database, functional meta-GGA SCAN.

Structure (POSCAR):
```
Ca3PN
1.0
4.670 0.000 0.000
0.000 4.670 0.000
0.000 0.000 4.670
Ca P N
3 1 1
Direct
0.000 0.000 0.500
0.000 0.500 0.000
0.500 0.000 0.000
0.500 0.500 0.500
0.000 0.000 0.000
```

## Properties
Crystal system   cubic
E_form (uncorrected)   -1.210 eV per atom
Total energy   -54.7 eV for the cell shown
M_tot   0.00 μB per cell